Entry 1:
ReTc2BiP: optimized geometry, PBE.

The structure in extended XYZ format:
```
5
Lattice="4.8615 0.0000 0.0000 0.0000 4.8615 0.0000 0.0000 0.0000 4.4801" Properties=species:S:1:pos:R:3 pbc="T T T"
Re 0.0000 0.0000 0.0000
Tc 0.0000 2.4307 0.0000
Tc 2.4307 0.0000 0.0000
Bi 2.4307 2.4307 2.2401
P 0.0000 0.0000 2.2401
```

Summary:
- calculated formation energy (eV/atom) = 1.15

Entry 2:
PIr3Os: optimized geometry, PBE.

The structure in extended XYZ format:
```
5
Lattice="4.7282 0.0000 0.0000 0.0000 4.7282 0.0000 0.0000 0.0000 4.7282" Properties=species:S:1:pos:R:3 pbc="T T T"
P 0.0000 0.0000 0.0000
Ir 0.0000 2.3641 2.3641
Ir 2.3641 0.0000 2.3641
Ir 2.3641 2.3641 0.0000
Os 2.3641 2.3641 2.3641
```

Summary:
- calculated formation energy (eV/atom) = 2.06
- polymorph energy (0 for the lowest one) (eV per atom) = 0.938

Entry 3:
Ho2ZrSc8: optimized geometry, PBE.

The structure in extended XYZ format:
```
11
Lattice="4.1708 -7.4657 0.0000 4.1708 7.4657 0.0000 -2.8930 0.0000 4.5338" Properties=species:S:1:pos:R:3 pbc="T T T"
Ho 4.1708 4.5757 0.0000
Ho 4.1708 -4.5757 0.0000
Zr 2.7242 0.0000 2.2669
Sc -0.2097 0.0000 1.3560
Sc 0.0126 1.6766 3.7644
Sc 2.7242 3.0094 2.2669
Sc 0.0126 -1.6766 3.7644
Sc 5.4358 1.6766 0.7695
Sc 2.7242 -3.0094 2.2669
Sc 5.4358 -1.6766 0.7695
Sc 5.6582 0.0000 3.1778
```

Summary:
- calculated formation energy (eV/atom) = 0.19

Entry 4:
La2ThPd8: optimized geometry, PBE.

The structure in extended XYZ format:
```
11
Lattice="6.6522 -2.3335 0.0000 6.6522 2.3335 0.0000 -4.0484 0.0000 7.2592" Properties=species:S:1:pos:R:3 pbc="T T T"
La 1.8077 0.0000 0.8969
La 7.4483 0.0000 6.3623
Th 4.6280 0.0000 3.6296
Pd -0.5985 0.0000 2.4639
Pd -0.7959 0.0000 5.3613
Pd 1.7789 0.0000 4.1496
Pd 5.4839 0.0000 0.8527
Pd 3.7720 0.0000 6.4065
Pd 7.4771 0.0000 3.1096
Pd 10.0518 0.0000 1.8979
Pd 9.8545 0.0000 4.7953
```

Summary:
- calculated formation energy (eV/atom) = -0.71

Entry 5:
GeSb2TeIr: optimized geometry, PBE.

The structure in extended XYZ format:
```
5
Lattice="5.1503 0.0000 0.0000 0.0000 5.1503 0.0000 0.0000 0.0000 5.1623" Properties=species:S:1:pos:R:3 pbc="T T T"
Ge 0.0000 0.0000 0.0000
Sb 0.0000 2.5751 0.0000
Sb 2.5751 0.0000 0.0000
Te 0.0000 0.0000 2.5812
Ir 2.5751 2.5751 2.5812
```

Summary:
- formation energy without anion corrections (eV/atom) = 1.312
- polymorph energy (0 for the lowest one) (eV per atom) = 0.743

Entry 6:
CsCa3Ge: optimized geometry, PBE.

The structure in extended XYZ format:
```
5
Lattice="6.0134 0.0000 0.0000 0.0000 6.0134 0.0000 0.0000 0.0000 6.0134" Properties=species:S:1:pos:R:3 pbc="T T T"
Cs 0.0000 0.0000 0.0000
Ca 0.0000 3.0067 3.0067
Ca 3.0067 0.0000 3.0067
Ca 3.0067 3.0067 0.0000
Ge 3.0067 3.0067 3.0067
```

Summary:
- calculated formation energy (eV/atom) = -0.10
- polymorph energy (0 for the lowest one) (eV per atom) = 0.000

Entry 7:
CaAlSn2Ru: optimized geometry, PBE.

The structure in extended XYZ format:
```
5
Lattice="5.0557 0.0000 0.0000 0.0000 5.0557 0.0000 0.0000 0.0000 5.3100" Properties=species:S:1:pos:R:3 pbc="T T T"
Ca 0.0000 0.0000 0.0000
Al 0.0000 0.0000 2.6550
Sn 0.0000 2.5279 2.6550
Sn 2.5279 0.0000 2.6550
Ru 2.5279 2.5279 0.0000
```

Summary:
- calculated formation energy (eV/atom) = 0.97

Entry 8:
Ba6HgBi5: optimized geometry, PBE.

The structure in extended XYZ format:
```
12
Lattice="5.9626 0.0000 0.0000 0.0000 9.0954 0.0000 -2.4714 0.0000 9.0583" Properties=species:S:1:pos:R:3 pbc="T T T"
Ba 0.0000 2.1348 0.0000
Ba 0.0000 6.9607 0.0000
Ba 0.3899 2.4190 6.0107
Ba 0.3899 6.6765 6.0107
Ba 3.1012 2.4190 3.0476
Ba 3.1012 6.6765 3.0476
Hg 2.9813 4.5477 0.0000
Bi -0.1008 0.0000 3.4077
Bi 0.1296 4.5477 2.7156
Bi 2.9813 0.0000 0.0000
Bi 3.3615 4.5477 6.3427
Bi 3.5919 0.0000 5.6506
```

Summary:
- calculated formation energy (eV/atom) = -0.80

Entry 9:
Te2HRuI: optimized geometry, PBE.

The structure in extended XYZ format:
```
5
Lattice="5.9650 0.0000 0.0000 0.0000 5.9650 0.0000 0.0000 0.0000 3.6166" Properties=species:S:1:pos:R:3 pbc="T T T"
Te 0.0000 2.9825 0.0000
Te 2.9825 0.0000 0.0000
H 0.0000 0.0000 1.8083
Ru 2.9825 2.9825 1.8083
I 0.0000 0.0000 0.0000
```

Summary:
- polymorph energy (0 for the lowest one) (eV per atom) = 0.407

Entry 10:
Ba3ZnIr2: optimized geometry, PBE.

The structure in extended XYZ format:
```
24
Lattice="6.5494 0.0000 0.0000 0.0000 12.2425 0.0000 -3.2196 0.0000 9.7174" Properties=species:S:1:pos:R:3 pbc="T T T"
Ba 0.0388 2.7932 3.3169
Ba -1.5710 3.3281 8.1756
Ba -1.6824 7.2323 9.4163
Ba -0.0725 11.1315 4.5576
Ba -0.0106 6.6216 5.7617
Ba 1.5992 11.7422 0.9030
Ba 1.7306 0.5004 8.8144
Ba 3.3404 5.6209 3.9557
Ba 3.4023 1.1110 5.1598
Ba 5.0121 5.0102 0.3011
Ba 4.9008 8.9144 1.5418
Ba 3.2910 9.4493 6.4005
Zn 1.5998 8.5095 3.0958
Zn -0.0100 9.8542 7.9545
Zn 3.3398 2.3883 1.7629
Zn 1.7300 3.7330 6.6216
Ir 0.5110 6.3029 2.5621
Ir -1.0989 12.0609 7.4208
Ir 0.2900 1.6928 6.3632
Ir 1.8998 4.4285 1.5045
Ir 1.4300 7.8140 8.2129
Ir 3.0398 10.5498 3.3542
Ir 4.4287 0.1816 2.2966
Ir 2.8188 5.9396 7.1553
```

Summary:
- calculated formation energy (eV/atom) = -0.19

Entry 11:
LiTlHW2: optimized geometry, PBE.

The structure in extended XYZ format:
```
5
Lattice="5.3232 0.0000 0.0000 0.0000 5.3232 0.0000 0.0000 0.0000 5.0536" Properties=species:S:1:pos:R:3 pbc="T T T"
Li 0.0000 0.0000 0.0000
Tl 0.0000 0.0000 2.5268
H 2.6616 2.6616 0.0000
W 0.0000 2.6616 2.5268
W 2.6616 0.0000 2.5268
```

Summary:
- total energy (eV/f.u.) = -19.8

Entry 12:
BeNbIn: optimized geometry, PBE.

The structure in extended XYZ format:
```
6
Lattice="1.8435 -7.6854 0.0000 1.8435 7.6854 0.0000 0.0000 0.0000 3.5322" Properties=species:S:1:pos:R:3 pbc="T T T"
Be 1.8435 7.1061 2.6492
Be 1.8435 -7.1061 0.8831
Nb 1.8435 1.1256 2.6492
Nb 1.8435 -1.1256 0.8831
In 1.8435 4.6614 2.6492
In 1.8435 -4.6614 0.8831
```

Summary:
- calculated formation energy (eV/atom) = -0.07

no.,magnetization (μB/f.u.)
1,1.47
2,0.00
3,1.02
4,0.00
5,0.00
6,0.93
7,1.98
8,0.00
9,2.57
10,0.00
11,7.01
12,0.00